(one)
Material: TcMoOs3
Method: DFT, GGA-PBE
State: optimized geometry

The spin magnetization comes out at 3.303 μB per formula unit.

The space group is Pm-3m (No. 221) and the conventional cell measures 4.645, 4.645 and 4.645 Å, with angles of 90.00, 90.00 and 90.00 degrees. The inequivalent atoms are Tc at (0.000, 0.000, 0.000), Mo at (0.500, 0.500, 0.500) and Os at (0.000, 0.500, 0.500).

(two)
Material: TcMoOs3
Method: DFT, GGA-PBE
State: optimized geometry

The spin magnetization comes out at 0.000 μB per formula unit.

The space group is P-1 (No. 2) and the conventional cell measures 5.133, 5.167 and 7.135 Å, with angles of 92.14, 106.97 and 119.24 degrees. The inequivalent atoms are Tc at (0.000, 0.000, 0.000), Tc at (0.000, 0.500, 0.500), Mo at (0.338, 0.443, 0.805), Os at (0.168, 0.556, 0.185), Os at (0.232, 0.129, 0.422) and Os at (0.359, 0.954, 0.800).

(three)
Material: TcMoOs3
Method: DFT, GGA-PBE
State: optimized geometry

The spin magnetization comes out at 2.212 μB per formula unit.

The space group is Pm-3m (No. 221) and the conventional cell measures 4.622, 4.622 and 4.622 Å, with angles of 90.00, 90.00 and 90.00 degrees. The inequivalent atoms are Tc at (0.000, 0.000, 0.000), Mo at (0.500, 0.500, 0.500) and Os at (0.000, 0.000, 0.500).

Best to worst by energy: (two), (three), (one).

(one)
Material: TeMoOs
Method: DFT, GGA-PBE
State: optimized geometry

The spin magnetization comes out at 0.504 μB per formula unit.

The space group is F-43m (No. 216) and the conventional cell measures 6.192, 6.192 and 6.192 Å, with angles of 90.00, 90.00 and 90.00 degrees. The inequivalent atoms are Te at (0.000, 0.000, 0.000), Mo at (0.000, 0.000, 0.500) and Os at (0.250, 0.250, 0.250).

(two)
Material: TeMoOs
Method: DFT, GGA-PBE
State: optimized geometry

The spin magnetization comes out at 0.000 μB per formula unit.

The space group is Imm2 (No. 44) and the conventional cell measures 3.077, 4.087 and 8.232 Å, with angles of 90.00, 90.00 and 90.00 degrees. The inequivalent atoms are Te at (0.000, 0.000, 0.000), Mo at (0.000, 0.000, 0.675) and Os at (0.000, 0.000, 0.324).

Best to worst by energy: (one), (two).

(one)
Material: Te2MoOs
Method: DFT, GGA-PBE
State: optimized geometry

The spin magnetization comes out at 0.000 μB per formula unit.

The space group is F-43m (No. 216) and the conventional cell measures 6.802, 6.802 and 6.802 Å, with angles of 90.00, 90.00 and 90.00 degrees. The inequivalent atoms are Te at (0.000, 0.000, 0.000), Te at (0.250, 0.250, 0.250), Mo at (0.000, 0.000, 0.500) and Os at (0.250, 0.250, 0.750).

(two)
Material: Te2MoOs
Method: DFT, GGA-PBE
State: optimized geometry

The spin magnetization comes out at 0.000 μB per formula unit.

The space group is Fm-3m (No. 225) and the conventional cell measures 6.651, 6.651 and 6.651 Å, with angles of 90.00, 90.00 and 90.00 degrees. The inequivalent atoms are Te at (0.250, 0.250, 0.250), Mo at (0.000, 0.000, 0.000) and Os at (0.000, 0.000, 0.500).

(three)
Material: Te2MoOs
Method: DFT, GGA-PBE
State: optimized geometry

The spin magnetization comes out at 0.793 μB per formula unit.

The space group is I-42d (No. 122) and the conventional cell measures 6.057, 6.057 and 11.743 Å, with angles of 90.00, 90.00 and 90.00 degrees. The inequivalent atoms are Te at (0.238, 0.250, 0.125), Mo at (0.000, 0.000, 0.500) and Os at (0.000, 0.000, 0.000).

(four)
Material: Te2MoOs
Method: DFT, GGA-PBE
State: optimized geometry

The spin magnetization comes out at 0.000 μB per formula unit.

The space group is Imm2 (No. 44) and the conventional cell measures 3.269, 4.144 and 12.489 Å, with angles of 90.00, 90.00 and 90.00 degrees. The inequivalent atoms are Te at (0.000, 0.000, 0.000), Te at (0.000, 0.500, 0.244), Mo at (0.000, 0.500, 0.851) and Os at (0.000, 0.000, 0.530).

Best to worst by energy: (four), (two), (three), (one).

(one)
Material: Te2MoOs
Method: DFT, GGA-PBE
State: optimized geometry

The spin magnetization comes out at 0.000 μB per formula unit.

The space group is Pmm2 (No. 25) and the conventional cell measures 3.057, 3.938 and 7.650 Å, with angles of 90.00, 90.00 and 90.00 degrees. The inequivalent atoms are Te at (0.000, 0.000, 0.000), Te at (0.500, 0.500, 0.446), Mo at (0.000, 0.000, 0.651) and Os at (0.500, 0.500, 0.804).

(two)
Material: Te2MoOs
Method: DFT, GGA-PBE
State: optimized geometry

The spin magnetization comes out at 0.000 μB per formula unit.

The space group is P4mm (No. 99) and the conventional cell measures 3.132, 3.132 and 8.790 Å, with angles of 90.00, 90.00 and 90.00 degrees. The inequivalent atoms are Te at (0.000, 0.000, 0.000), Te at (0.500, 0.500, 0.410), Mo at (0.000, 0.000, 0.603) and Os at (0.500, 0.500, 0.811).

(three)
Material: Te2MoOs
Method: DFT, GGA-PBE
State: optimized geometry

The spin magnetization comes out at 0.002 μB per formula unit.

The space group is Pmmm (No. 47) and the conventional cell measures 3.262, 4.422 and 5.468 Å, with angles of 90.00, 90.00 and 90.00 degrees. The inequivalent atoms are Te at (0.000, 0.000, 0.000), Te at (0.500, 0.000, 0.500), Mo at (0.000, 0.500, 0.500) and Os at (0.500, 0.500, 0.000).

Best to worst by energy: (two), (one), (three).

(one)
Material: Te2MoOs
Method: DFT, GGA-PBE
State: optimized geometry

The spin magnetization comes out at 0.001 μB per formula unit.

The space group is Cmmm (No. 65) and the conventional cell measures 3.311, 5.490 and 8.726 Å, with angles of 90.00, 90.00 and 90.00 degrees. The inequivalent atoms are Te at (0.000, 0.000, 0.248), Mo at (0.000, 0.500, 0.500) and Os at (0.000, 0.500, 0.000).

(two)
Material: Te2MoOs
Method: DFT, GGA-PBE
State: optimized geometry

The spin magnetization comes out at 0.000 μB per formula unit.

The space group is R-3m (No. 166, hexagonal axes) and the conventional cell measures 3.2548, 3.2548 and 24.7418 Å, with angles of 90.00, 90.00 and 120.00 degrees. The inequivalent atoms are Te at (0.0000, 0.0000, 0.2502), Mo at (0.0000, 0.0000, 0.0000) and Os at (0.0000, 0.0000, 0.5000).

(three)
Material: Te2MoOs
Method: DFT, GGA-PBE
State: optimized geometry

The spin magnetization comes out at 0.000 μB per formula unit.

The space group is R3m (No. 160, hexagonal axes) and the conventional cell measures 3.1731, 3.1731 and 31.0178 Å, with angles of 90.00, 90.00 and 120.00 degrees. The inequivalent atoms are Te at (0.0000, 0.0000, 0.0000), Te at (0.0000, 0.0000, 0.1983), Mo at (0.0000, 0.0000, 0.4663) and Os at (0.0000, 0.0000, 0.7323).

(four)
Material: Te2MoOs
Method: DFT, GGA-PBE
State: optimized geometry

The spin magnetization comes out at 0.000 μB per formula unit.

The space group is Cm (No. 8) and the conventional cell measures 7.641, 3.976 and 6.807 Å, with angles of 90.00, 108.84 and 90.00 degrees. The inequivalent atoms are Te at (0.000, 0.000, 0.000), Te at (0.212, 0.000, 0.564), Mo at (0.453, 0.000, 0.315) and Os at (0.246, 0.500, 0.229).

Best to worst by energy: (four), (three), (two), (one).

(one)
Material: Te2MoOs
Method: DFT, GGA-PBE
State: optimized geometry

The spin magnetization comes out at 1.013 μB per formula unit.

The space group is I-4m2 (No. 119) and the conventional cell measures 3.985, 3.985 and 9.641 Å, with angles of 90.00, 90.00 and 90.00 degrees. The inequivalent atoms are Te at (0.000, 0.000, 0.000), Te at (0.000, 0.500, 0.250), Mo at (0.000, 0.500, 0.750) and Os at (0.000, 0.000, 0.500).

(two)
Material: Te2MoOs
Method: DFT, GGA-PBE
State: optimized geometry

The spin magnetization comes out at 0.000 μB per formula unit.

The space group is C2/m (No. 12) and the conventional cell measures 8.496, 3.233 and 5.626 Å, with angles of 90.00, 102.36 and 90.00 degrees. The inequivalent atoms are Te at (0.246, 0.000, 0.247), Mo at (0.000, 0.500, 0.000) and Os at (0.000, 0.000, 0.500).

Best to worst by energy: (two), (one).

(one)
Material: Te2MoOs
Method: DFT, GGA-PBE
State: optimized geometry

The spin magnetization comes out at 0.000 μB per formula unit.

The space group is Pm (No. 6) and the conventional cell measures 3.027, 3.982 and 7.806 Å, with angles of 90.00, 96.13 and 90.00 degrees. The inequivalent atoms are Te at (0.000, 0.000, 0.000), Te at (0.269, 0.500, 0.576), Mo at (0.592, 0.500, 0.213) and Os at (0.136, 0.000, 0.344).

(two)
Material: Te2MoOs
Method: DFT, GGA-PBE
State: optimized geometry

The spin magnetization comes out at 0.000 μB per formula unit.

The space group is P4/mmm (No. 123) and the conventional cell measures 4.703, 4.703 and 3.320 Å, with angles of 90.00, 90.00 and 90.00 degrees. The inequivalent atoms are Te at (0.000, 0.500, 0.000), Mo at (0.000, 0.000, 0.500) and Os at (0.500, 0.500, 0.500).

(three)
Material: Te2MoOs
Method: DFT, GGA-PBE
State: optimized geometry

The spin magnetization comes out at 0.000 μB per formula unit.

The space group is R-3m (No. 166, hexagonal axes) and the conventional cell measures 3.2790, 3.2790 and 26.7827 Å, with angles of 90.00, 90.00 and 120.00 degrees. The inequivalent atoms are Te at (0.0000, 0.0000, 0.0940), Mo at (0.0000, 0.0000, 0.5000) and Os at (0.0000, 0.0000, 0.0000).

Best to worst by energy: (one), (two), (three).

(one)
Material: Te2MoOs
Method: DFT, GGA-PBE
State: optimized geometry

The spin magnetization comes out at 0.000 μB per formula unit.

The space group is P4/mmm (No. 123) and the conventional cell measures 3.333, 3.333 and 6.596 Å, with angles of 90.00, 90.00 and 90.00 degrees. The inequivalent atoms are Te at (0.000, 0.000, 0.247), Mo at (0.500, 0.500, 0.000) and Os at (0.500, 0.500, 0.500).

(two)
Material: Te2MoOs
Method: DFT, GGA-PBE
State: optimized geometry

The spin magnetization comes out at 0.197 μB per formula unit.

The space group is R-3m (No. 166, hexagonal axes) and the conventional cell measures 3.2958, 3.2958 and 27.1378 Å, with angles of 90.00, 90.00 and 120.00 degrees. The inequivalent atoms are Te at (0.0000, 0.0000, 0.0959), Mo at (0.0000, 0.0000, 0.0000) and Os at (0.0000, 0.0000, 0.5000).

Best to worst by energy: (one), (two).